[1]
Zr3Fe2Ru | PBE | relaxed Values from VASP.

Properties
- crystal system = tetragonal
- space group = P4/mmm, No. 123

Structure (Quantum ESPRESSO input):
```
&SYSTEM
  ibrav = 0, nat = 6, ntyp = 3
/
ATOMIC_SPECIES
Zr 91.22 Zr.upf
Fe 55.84 Fe.upf
Ru 101.07 Ru.upf
CELL_PARAMETERS angstrom
3.2191 0.0000 0.0000
0.0000 3.2191 0.0000
0.0000 0.0000 9.6107
ATOMIC_POSITIONS crystal
Zr 0.0000 0.0000 0.0000
Zr 0.0000 0.0000 0.3269
Zr 0.0000 0.0000 0.6731
Fe 0.5000 0.5000 0.1648
Fe 0.5000 0.5000 0.8352
Ru 0.5000 0.5000 0.5000
```



[2]
HfGa4Sn | PBE | relaxed Values from VASP.

Properties
- crystal system = cubic
- space group = F-43m, No. 216

Structure (Quantum ESPRESSO input):
```
&SYSTEM
  ibrav = 0, nat = 6, ntyp = 3
/
ATOMIC_SPECIES
Hf 178.49 Hf.upf
Ga 69.72 Ga.upf
Sn 118.71 Sn.upf
CELL_PARAMETERS angstrom
0.0000 3.8228 3.8228
3.8228 0.0000 3.8228
3.8228 3.8228 0.0000
ATOMIC_POSITIONS crystal
Hf 0.0000 0.0000 0.0000
Ga 0.1239 0.6254 0.6254
Ga 0.6254 0.1239 0.6254
Ga 0.6254 0.6254 0.1239
Ga 0.6254 0.6254 0.6254
Sn 0.2500 0.2500 0.2500
```



no.,formation energy (meV/atom)
1,-332
2,-54